Nd2DySn3Pd3: optimized geometry, GGA-PBE.

Structure (POSCAR):
```
Nd2DySn3Pd3
1.0
4.091 0.000 0.000
0.000 6.584 3.814
0.000 -6.584 3.814
Nd Dy Sn Pd
2 1 3 3
direct
0.000 0.205 0.795
0.000 0.795 0.205
0.000 0.387 0.387
0.500 0.048 0.048
0.500 0.539 0.792
0.500 0.792 0.539
0.000 0.789 0.789
0.500 0.133 0.458
0.500 0.458 0.133
```

Results
**Space group**: Amm2 (38)
**Raw total energy**: -5.552 eV/atom
**Spin magnetization**: 0.0 μB per formula unit
**ρ**: 9.11 Mg/m³

=====

PmNdDy: optimized geometry, GGA-PBE.

Structure (POSCAR):
```
PmNdDy
1.0
0.000 3.890 3.890
3.890 0.000 3.890
3.890 3.890 0.000
Pm Nd Dy
1 1 1
direct
0.000 0.000 0.000
0.500 0.500 0.500
0.750 0.750 0.750
```

Results
**Space group**: F-43m (216)
**Raw total energy**: -4.007 eV/atom
**Spin magnetization**: 0.0 μB per formula unit
**ρ**: 6.37 Mg/m³

=====

PrNdDy: optimized geometry, GGA-PBE.

Structure (POSCAR):
```
PrNdDy
1.0
0.000 3.910 3.910
3.910 0.000 3.910
3.910 3.910 0.000
Pr Nd Dy
1 1 1
direct
0.000 0.000 0.000
0.250 0.250 0.250
0.750 0.750 0.750
```

Results
**Space group**: F-43m (216)
**Raw total energy**: -3.976 eV/atom
**Spin magnetization**: 0.1 μB per formula unit
**ρ**: 6.22 Mg/m³

=====

Nd3DyPt4: optimized geometry, GGA-PBE.

Structure (POSCAR):
```
Nd3DyPt4
1.0
5.679 0.000 0.000
0.000 4.590 0.000
-0.069 0.000 7.261
Nd Dy Pt
3 1 4
direct
0.000 0.000 0.000
0.220 0.000 0.497
0.719 0.500 0.633
0.499 0.500 0.134
0.015 0.500 0.268
0.210 0.500 0.778
0.512 0.000 0.871
0.699 0.000 0.350
```

Results
**Space group**: Pm (6)
**Raw total energy**: -6.568 eV/atom
**Spin magnetization**: 0.0 μB per formula unit
**ρ**: 12.07 Mg/m³

=====

NdDyPt2: optimized geometry, GGA-PBE.

Structure (POSCAR):
```
NdDyPt2
1.0
5.648 0.000 0.000
0.000 4.570 0.000
-0.150 0.000 7.183
Nd Dy Pt
2 2 4
direct
0.141 0.250 0.185
0.859 0.750 0.815
0.361 0.250 0.680
0.639 0.750 0.320
0.163 0.750 0.462
0.352 0.750 0.950
0.648 0.250 0.050
0.837 0.250 0.538
```

Results
**Space group**: P2_1/m (11)
**Raw total energy**: -6.580 eV/atom
**Spin magnetization**: 0.0 μB per formula unit
**ρ**: 12.48 Mg/m³

=====

NdDyPt: optimized geometry, GGA-PBE.

Structure (POSCAR):
```
NdDyPt
1.0
0.000 3.398 3.398
3.398 0.000 3.398
3.398 3.398 0.000
Nd Dy Pt
1 1 1
direct
0.000 0.000 0.000
0.250 0.250 0.250
0.500 0.500 0.500
```

Results
**Space group**: F-43m (216)
**Raw total energy**: -5.279 eV/atom
**Spin magnetization**: 0.0 μB per formula unit
**ρ**: 10.62 Mg/m³